1.
A plane-wave DFT calculation with GGA-PBE was carried out for a geometry-optimized Dy5Al2In2 structure.

Unit cell a=16.1107 b=7.9317 c=7.7447 alpha=90.00 beta=90.00 gamma=90.00
Last column: nearest neighbours and their distance in Å.
Space group Cmce (No. 64)
Asymmetric unit:
Dy1 0.0000 0.0000 0.0000 x4  4 Al 3.10-3.17
Dy2 0.1320 0.1880 0.3202 x16  3 Al 3.06-3.26, 3 In 3.15-3.22
Al1 0.0000 0.1170 0.6177 x8  1 Al 2.60
In1 0.2192 0.0000 0.0000 x8  6 Dy 3.15-3.22

Computed properties:
* magnetic moment: 0.00 μB/f.u.
* formation energy from the elements: -0.348 eV per atom

2.
A plane-wave DFT calculation with GGA-PBE was carried out for a geometry-optimized Dy3Al2In3 structure.

Unit cell a=4.5392 b=11.2288 c=15.4576 alpha=90.00 beta=90.00 gamma=90.00
Last column: nearest neighbours and their distance in Å.
Space group Cmcm (No. 63)
Asymmetric unit:
Dy1 0.0000 0.0729 0.1128 x8  6 In 3.16-3.38, 3 Al 3.23-3.29
Dy2 0.0000 0.3473 0.2500 x4  5 In 3.12-3.37, 4 Al 3.17
Al1 0.0000 0.2145 0.6138 x8  4 In 2.75-2.95
In1 0.0000 0.3753 0.0373 x8  3 Al 2.75-2.95, 1 In 3.03
In2 0.0000 0.3750 0.7500 x4  2 Al 2.77

Computed properties:
* magnetic moment: 0.00 μB/f.u.
* formation energy from the elements: -0.424 eV per atom

3.
A plane-wave DFT calculation with GGA-PBE was carried out for a geometry-optimized Dy6Al2In structure.

Unit cell a=5.0893 b=7.2102 c=15.2685 alpha=90.00 beta=90.00 gamma=90.00
Last column: nearest neighbours and their distance in Å.
Space group Immm (No. 71)
Asymmetric unit:
Dy1 0.0000 0.2423 0.0000 x4  2 Al 3.09, 2 In 3.15
Dy2 0.0000 0.2540 0.3304 x8  3 Al 3.09-3.10, 1 In 3.17
Al1 0.0000 0.0000 0.1672 x4  8 Dy 3.09-3.10
In1 0.0000 0.0000 0.5000 x2  8 Dy 3.15-3.17

Computed properties:
* magnetic moment: 0.00 μB/f.u.
* formation energy from the elements: -0.046 eV per atom
* relative energy among the computed polymorphs: 0.253 eV/atom

Copy entry 1 word for word.
A plane-wave DFT calculation with GGA-PBE was carried out for a geometry-optimized Dy5Al2In2 structure.

Unit cell a=16.1107 b=7.9317 c=7.7447 alpha=90.00 beta=90.00 gamma=90.00
Last column: nearest neighbours and their distance in Å.
Space group Cmce (No. 64)
Asymmetric unit:
Dy1 0.0000 0.0000 0.0000 x4  4 Al 3.10-3.17
Dy2 0.1320 0.1880 0.3202 x16  3 Al 3.06-3.26, 3 In 3.15-3.22
Al1 0.0000 0.1170 0.6177 x8  1 Al 2.60
In1 0.2192 0.0000 0.0000 x8  6 Dy 3.15-3.22

Computed properties:
* magnetic moment: 0.00 μB/f.u.
* formation energy from the elements: -0.348 eV per atom